Here is an optimized crystal structure of Pm2MnGe6Rh from the Alexandria database. Energies are from PBE-GGA.

Summary:
E = -5.627 eV per atom
energy of formation = -0.254 eV/atom
space group = R-3m
Fermi-level density of states = 7.923 states/eV/cell

Structure (POSCAR):
```
Pm2MnGe6Rh
1.0
-0.985 6.950 -2.799
-5.231 1.227 -5.314
-8.093 4.418 3.614
Ge Pm Mn Rh
12 4 2 2
direct
0.865 0.389 0.356
0.389 0.389 0.356
0.135 0.611 0.644
0.742 0.201 0.855
0.611 0.135 0.644
0.201 0.201 0.855
0.799 0.799 0.145
0.258 0.799 0.145
0.389 0.865 0.356
0.611 0.611 0.644
0.201 0.742 0.855
0.799 0.258 0.145
0.134 0.134 0.599
0.866 0.866 0.401
0.716 0.716 0.853
0.284 0.284 0.147
0.500 0.500 0.500
0.000 0.000 0.000
0.608 0.608 0.177
0.392 0.392 0.823
```